# 1
{
  "formula": "NbB2OsBr",
  "functional": "PBE",
  "state": "relaxed",
  "lattice": [[4.290, 0.000, 0.000], [0.000, 4.290, 0.000], [0.000, 0.000, 5.043]],
  "species": ["Nb", "B", "B", "Os", "Br"],
  "frac_coords": [[0.000, 0.000, 0.000], [0.000, 0.500, 0.000], [0.500, 0.000, 0.000], [0.000, 0.000, 0.500], [0.500, 0.500, 0.500]],
  "e_form_raw_kj_per_mol_fu": 928,
  "dos_ef_per_ev_fu": 3.9,
  "m_tot_mub_per_cell": 0.0,
  "mass_density_g_cm3": 6.883
}

***

# 2
{
  "formula": "NbBRh2Br",
  "functional": "PBE",
  "state": "relaxed",
  "lattice": [[4.033, 0.000, 0.000], [0.000, 4.033, 0.000], [0.000, 0.000, 4.918]],
  "species": ["Nb", "B", "Rh", "Rh", "Br"],
  "frac_coords": [[0.000, 0.000, 0.000], [0.500, 0.500, 0.500], [0.000, 0.500, 0.500], [0.500, 0.000, 0.500], [0.500, 0.500, 0.000]],
  "e_form_raw_kj_per_mol_fu": 285,
  "dos_ef_per_ev_fu": 5.9,
  "m_tot_mub_per_cell": 0.0,
  "mass_density_g_cm3": 8.083
}

***

# 3
{
  "formula": "NbBRu2Br",
  "functional": "PBE",
  "state": "relaxed",
  "lattice": [[4.842, 0.000, 0.000], [0.000, 4.842, 0.000], [0.000, 0.000, 4.347]],
  "species": ["Nb", "B", "Ru", "Ru", "Br"],
  "frac_coords": [[0.000, 0.000, 0.000], [0.000, 0.000, 0.500], [0.000, 0.500, 0.000], [0.500, 0.000, 0.000], [0.500, 0.500, 0.500]],
  "e_form_raw_kj_per_mol_fu": 817,
  "dos_ef_per_ev_fu": 3.7,
  "m_tot_mub_per_cell": 1.6,
  "mass_density_g_cm3": 6.285
}

***

# 4
{
  "formula": "NbBSe2Br",
  "functional": "PBE",
  "state": "relaxed",
  "lattice": [[4.521, 0.000, 0.000], [0.000, 4.521, 0.000], [0.000, 0.000, 4.479]],
  "species": ["Nb", "B", "Se", "Se", "Br"],
  "frac_coords": [[0.000, 0.000, 0.000], [0.500, 0.500, 0.500], [0.000, 0.500, 0.500], [0.500, 0.000, 0.500], [0.500, 0.500, 0.000]],
  "polymorph_energy_mev_per_atom": 22,
  "e_form_raw_kj_per_mol_fu": 355,
  "dos_ef_per_ev_fu": 2.2,
  "m_tot_mub_per_cell": 1.9,
  "mass_density_g_cm3": 6.193
}

***

# 5
{
  "formula": "NbBSeBr2",
  "functional": "PBE",
  "state": "relaxed",
  "lattice": [[4.563, 0.000, 0.000], [0.000, 4.563, 0.000], [0.000, 0.000, 4.710]],
  "species": ["Nb", "B", "Se", "Br", "Br"],
  "frac_coords": [[0.000, 0.000, 0.000], [0.500, 0.500, 0.500], [0.500, 0.500, 0.000], [0.000, 0.500, 0.500], [0.500, 0.000, 0.500]],
  "polymorph_energy_mev_per_atom": 147,
  "e_form_raw_kj_per_mol_fu": 411,
  "dos_ef_per_ev_fu": 2.8,
  "m_tot_mub_per_cell": 2.8,
  "mass_density_g_cm3": 5.798
}

***

# 6
{
  "formula": "NbBSeBr2",
  "functional": "PBE",
  "state": "relaxed",
  "lattice": [[5.233, 0.000, 0.000], [0.000, 5.233, 0.000], [0.000, 0.000, 5.024]],
  "species": ["Nb", "B", "Se", "Br", "Br"],
  "frac_coords": [[0.000, 0.000, 0.000], [0.500, 0.500, 0.500], [0.000, 0.000, 0.500], [0.000, 0.500, 0.000], [0.500, 0.000, 0.000]],
  "polymorph_energy_mev_per_atom": 0,
  "e_form_raw_kj_per_mol_fu": 341,
  "dos_ef_per_ev_fu": 4.9,
  "m_tot_mub_per_cell": 1.0,
  "mass_density_g_cm3": 4.134
}

***

# 7
{
  "formula": "NbBSeBr2",
  "functional": "PBE",
  "state": "relaxed",
  "lattice": [[5.157, 0.000, 0.000], [0.000, 5.157, 0.000], [0.000, 0.000, 4.545]],
  "species": ["Nb", "B", "Se", "Br", "Br"],
  "frac_coords": [[0.000, 0.000, 0.000], [0.000, 0.000, 0.500], [0.500, 0.500, 0.500], [0.000, 0.500, 0.000], [0.500, 0.000, 0.000]],
  "polymorph_energy_mev_per_atom": 109,
  "e_form_raw_kj_per_mol_fu": 393,
  "dos_ef_per_ev_fu": 5.5,
  "m_tot_mub_per_cell": 1.7,
  "mass_density_g_cm3": 4.704
}

***

# 8
{
  "formula": "NbBSe2Br",
  "functional": "PBE",
  "state": "relaxed",
  "lattice": [[5.044, 0.000, 0.000], [0.000, 5.044, 0.000], [0.000, 0.000, 5.214]],
  "species": ["Nb", "B", "Se", "Se", "Br"],
  "frac_coords": [[0.000, 0.000, 0.000], [0.500, 0.500, 0.500], [0.000, 0.500, 0.000], [0.500, 0.000, 0.000], [0.000, 0.000, 0.500]],
  "polymorph_energy_mev_per_atom": 0,
  "e_form_raw_kj_per_mol_fu": 344,
  "dos_ef_per_ev_fu": 3.2,
  "m_tot_mub_per_cell": 0.0,
  "mass_density_g_cm3": 4.275
}

***

# 9
{
  "formula": "NbB2TeBr",
  "functional": "PBE",
  "state": "relaxed",
  "lattice": [[4.312, 0.000, 0.000], [0.000, 4.312, 0.000], [0.000, 0.000, 5.580]],
  "species": ["Nb", "B", "B", "Te", "Br"],
  "frac_coords": [[0.000, 0.000, 0.000], [0.000, 0.500, 0.500], [0.500, 0.000, 0.500], [0.500, 0.500, 0.500], [0.500, 0.500, 0.000]],
  "e_form_raw_kj_per_mol_fu": 1045,
  "dos_ef_per_ev_fu": 8.3,
  "m_tot_mub_per_cell": 0.1,
  "mass_density_g_cm3": 5.155
}

***

# 10
{
  "formula": "NdBBr",
  "functional": "PBE",
  "state": "relaxed",
  "lattice": [[3.704, -1.687, 0.000], [3.704, 1.687, 0.000], [-2.112, 0.000, 11.680]],
  "species": ["Nd", "Nd", "B", "B", "Br", "Br"],
  "frac_coords": [[0.051, 0.051, 0.157], [0.949, 0.949, 0.843], [0.276, 0.276, 0.999], [0.724, 0.724, 0.001], [0.206, 0.206, 0.672], [0.794, 0.794, 0.328]],
  "polymorph_energy_mev_per_atom": 0,
  "e_form_raw_kj_per_mol_fu": -279,
  "dos_ef_per_ev_fu": 1.7,
  "m_tot_mub_per_cell": 0.0,
  "mass_density_g_cm3": 5.344
}

***

# 11
{
  "formula": "Nd4B2Br5",
  "functional": "PBE",
  "state": "relaxed",
  "lattice": [[-2.023, 4.130, 9.742], [2.023, -4.130, 9.742], [2.023, 4.130, -9.742]],
  "species": ["Nd", "Nd", "Nd", "Nd", "B", "B", "Br", "Br", "Br", "Br", "Br"],
  "frac_coords": [[0.163, 0.163, 0.000], [0.207, 0.500, 0.707], [0.793, 0.500, 0.293], [0.837, 0.837, 0.000], [0.040, 0.040, 0.000], [0.960, 0.960, 0.000], [0.100, 0.336, 0.765], [0.429, 0.664, 0.765], [0.500, 0.000, 0.500], [0.571, 0.336, 0.235], [0.900, 0.664, 0.235]],
  "e_form_raw_kj_per_mol_fu": -1332,
  "dos_ef_per_ev_fu": 4.4,
  "m_tot_mub_per_cell": 0.0,
  "mass_density_g_cm3": 5.089
}

***

# 12
{
  "formula": "Nd2BBr",
  "functional": "PBE",
  "state": "relaxed",
  "lattice": [[2.011, 1.161, 7.323], [-2.011, 1.161, 7.323], [0.000, -2.322, 7.323]],
  "species": ["Nd", "Nd", "B", "Br"],
  "frac_coords": [[0.231, 0.231, 0.231], [0.769, 0.769, 0.769], [0.500, 0.500, 0.500], [0.000, 0.000, 0.000]],
  "e_form_raw_kj_per_mol_fu": -276,
  "dos_ef_per_ev_fu": 4.2,
  "m_tot_mub_per_cell": 0.0,
  "mass_density_g_cm3": 6.136
}

***

> What is the formula in the eleventh record?

Nd4B2Br5

***

> Number 8 is which compound?

NbBSe2Br